Entry i
Computed, not measured: a geometry-optimized KHfSc structure at the PBE level of DFT.

SG = No. 216
Crystal system = cubic

a = 5.454 Å, b = 5.454 Å, c = 5.454 Å
α = 60.00°, β = 60.00°, γ = 60.00°
Sites, in units of the cell vectors:
K1 0.000 0.000 0.000
Hf1 0.500 0.500 0.500
Sc1 0.250 0.250 0.250

=====

Entry ii
Computed, not measured: a geometry-optimized KHfSc structure at the PBE level of DFT.

SG = No. 62
Crystal system = orthorhombic

a = 7.836 Å, b = 4.437 Å, c = 10.295 Å
α = 90.00°, β = 90.00°, γ = 90.00°
Sites, in units of the cell vectors:
K1 0.111 0.250 0.068
K2 0.389 0.750 0.568
K3 0.611 0.250 0.432
K4 0.889 0.750 0.932
Hf1 0.075 0.250 0.421
Hf2 0.425 0.750 0.921
Hf3 0.575 0.250 0.079
Hf4 0.925 0.750 0.579
Sc1 0.142 0.250 0.720
Sc2 0.358 0.750 0.220
Sc3 0.642 0.250 0.780
Sc4 0.858 0.750 0.280

=====

Entry iii
Computed, not measured: a geometry-optimized KHfSc structure at the PBE level of DFT.

SG = No. 62
Crystal system = orthorhombic

a = 5.127 Å, b = 6.391 Å, c = 11.282 Å
α = 90.00°, β = 90.00°, γ = 90.00°
Sites, in units of the cell vectors:
K1 0.244 0.250 0.163
K2 0.256 0.750 0.663
K3 0.744 0.250 0.337
K4 0.756 0.750 0.837
Hf1 0.243 0.250 0.804
Hf2 0.257 0.750 0.304
Hf3 0.743 0.250 0.696
Hf4 0.757 0.750 0.196
Sc1 0.244 0.250 0.539
Sc2 0.256 0.750 0.039
Sc3 0.744 0.250 0.961
Sc4 0.756 0.750 0.461

=====

Entry iv
Computed, not measured: a geometry-optimized KHfSc structure at the PBE level of DFT.

SG = No. 194
Crystal system = hexagonal

a = 5.820 Å, b = 5.820 Å, c = 6.045 Å
α = 90.00°, β = 90.00°, γ = 120.00°
Sites, in units of the cell vectors:
K1 0.000 0.000 0.000
K2 0.000 0.000 0.500
Hf1 0.333 0.667 0.250
Hf2 0.667 0.333 0.750
Sc1 0.333 0.667 0.750
Sc2 0.667 0.333 0.250

=====

Relative energy table, unit kJ/mol of atoms: entry i 74.0; entry ii 0.5; entry iii 0.0; entry iv 17.9

=====

Entry i
Computed, not measured: a geometry-optimized KHfSc structure at the PBE level of DFT.

SG = No. 1
Crystal system = triclinic

a = 4.287 Å, b = 4.438 Å, c = 12.595 Å
α = 79.98°, β = 89.89°, γ = 90.00°
Sites, in units of the cell vectors:
K1 0.000 0.000 0.000
K2 0.498 0.351 0.295
Hf1 0.001 0.213 0.571
Hf2 0.500 0.138 0.724
Sc1 0.000 0.629 0.741
Sc2 0.501 0.721 0.554

=====

Entry ii
Computed, not measured: a geometry-optimized KHfSc structure at the PBE level of DFT.

SG = No. 11
Crystal system = monoclinic

a = 3.748 Å, b = 3.751 Å, c = 14.922 Å
α = 90.00°, β = 90.32°, γ = 90.00°
Sites, in units of the cell vectors:
K1 0.241 0.250 0.135
K2 0.759 0.750 0.865
Hf1 0.249 0.250 0.455
Hf2 0.751 0.750 0.545
Sc1 0.254 0.250 0.658
Sc2 0.746 0.750 0.342

=====

Entry iii
Computed, not measured: a geometry-optimized KHfSc structure at the PBE level of DFT.

SG = No. 129
Crystal system = tetragonal

a = 3.878 Å, b = 3.878 Å, c = 14.559 Å
α = 90.00°, β = 90.00°, γ = 90.00°
Sites, in units of the cell vectors:
K1 0.250 0.250 0.136
K2 0.750 0.750 0.864
Hf1 0.250 0.250 0.665
Hf2 0.750 0.750 0.335
Sc1 0.250 0.750 0.500
Sc2 0.750 0.250 0.500

=====

Relative energy table, unit kJ/mol of atoms: entry i 10.2; entry ii 0.0; entry iii 62.4

=====

Entry i
Computed, not measured: a geometry-optimized KHfSc2 structure at the PBE level of DFT.

SG = No. 225
Crystal system = cubic

a = 5.370 Å, b = 5.370 Å, c = 5.370 Å
α = 60.00°, β = 60.00°, γ = 60.00°
Sites, in units of the cell vectors:
K1 0.000 0.000 0.000
Hf1 0.500 0.500 0.500
Sc1 0.250 0.250 0.250
Sc2 0.750 0.750 0.750

=====

Entry ii
Computed, not measured: a geometry-optimized KHfSc2 structure at the PBE level of DFT.

SG = No. 122
Crystal system = tetragonal

a = 11.290 Å, b = 11.290 Å, c = 11.290 Å
α = 156.19°, β = 156.19°, γ = 33.92°
Sites, in units of the cell vectors:
K1 0.000 0.000 0.000
K2 0.750 0.250 0.500
Hf1 0.250 0.750 0.500
Hf2 0.500 0.500 0.000
Sc1 0.162 0.625 0.037
Sc2 0.375 0.412 0.537
Sc3 0.588 0.125 0.963
Sc4 0.875 0.838 0.463

=====

Entry iii
Computed, not measured: a geometry-optimized KHfSc2 structure at the PBE level of DFT.

SG = No. 166
Crystal system = trigonal

a = 12.279 Å, b = 12.279 Å, c = 12.279 Å
α = 15.43°, β = 15.43°, γ = 15.43°
Sites, in units of the cell vectors:
K1 0.000 0.000 0.000
Hf1 0.500 0.500 0.500
Sc1 0.099 0.099 0.099
Sc2 0.901 0.901 0.901

=====

Relative energy table, unit kJ/mol of atoms: entry i 49.8; entry ii 82.1; entry iii 0.0

=====

Entry i
Computed, not measured: a geometry-optimized K2Hf2Sc structure at the PBE level of DFT.

SG = No. 127
Crystal system = tetragonal

a = 10.561 Å, b = 10.561 Å, c = 3.011 Å
α = 90.00°, β = 90.00°, γ = 90.00°
Sites, in units of the cell vectors:
K1 0.199 0.301 0.000
K2 0.301 0.801 0.000
K3 0.699 0.199 0.000
K4 0.801 0.699 0.000
Hf1 0.094 0.594 0.500
Hf2 0.406 0.094 0.500
Hf3 0.594 0.906 0.500
Hf4 0.906 0.406 0.500
Sc1 0.000 0.000 0.000
Sc2 0.500 0.500 0.000

=====

Entry ii
Computed, not measured: a geometry-optimized K2Hf2Sc structure at the PBE level of DFT.

SG = No. 139
Crystal system = tetragonal

a = 13.447 Å, b = 13.447 Å, c = 13.447 Å
α = 163.39°, β = 163.39°, γ = 23.57°
Sites, in units of the cell vectors:
K1 0.119 0.119 0.000
K2 0.881 0.881 0.000
Hf1 0.250 0.750 0.500
Hf2 0.750 0.250 0.500
Sc1 0.500 0.500 0.000

=====

Relative energy table, unit kJ/mol of atoms: entry i 27.7; entry ii 0.0